Entry from Alexandria via LeMat-Bulk: RhAuCl after structural relaxation (PBE).

Output
Uncorrected formation energy = 0.102 eV per atom
Space group = Pmma (51)
Energy above the most stable polymorph in this dataset = 0.080 eV/atom
Magnetization = 0.0 μB per formula unit

```
6
Lattice="4.782 0.000 0.000 0.000 4.560 0.000 0.000 0.000 5.487" Properties=species:S:1:pos:R:3 pbc="T T T"
Rh 1.195 0.000 0.652
Rh 3.586 0.000 4.835
Au 1.195 0.000 3.444
Au 3.586 0.000 2.043
Cl 1.195 2.280 1.182
Cl 3.586 2.280 4.305
```

Entry from Alexandria via LeMat-Bulk: RhAuCl2 after structural relaxation (PBE).

Output
Uncorrected formation energy = -0.097 eV per atom
Space group = Cm (8)
Energy above the most stable polymorph in this dataset = 0.000 eV/atom
Magnetization = 0.0 μB per formula unit

```
4
Lattice="5.163 -1.702 0.000 5.163 1.702 0.000 -2.004 0.000 5.779" Properties=species:S:1:pos:R:3 pbc="T T T"
Rh 0.000 0.000 0.000
Au 7.857 0.000 0.752
Cl 2.803 0.000 4.245
Cl 5.581 0.000 1.597
```